[1]
Here is a relaxed structure of CsNiS2 from OQMD via LeMat-Bulk. Energies are from GGA-PBE.

For the energy above the most stable polymorph in this dataset, the calculation gives 1.8 meV/atom. The density is 3.809 g/cm³. The calculation puts the final energy at -4.2968 eV/atom.

The structure belongs to space group Immm (No. 71); the cell edges are 5.531, 6.965 and 11.579 Å and the angles 90.00°, 90.00° and 90.00°. The inequivalent atoms are Cs at (0.000, 0.000, 0.179), Ni at (0.241, 0.000, 0.500), S at (0.000, 0.245, 0.500) and S at (0.000, 0.500, 0.141).

=====

[2]
Here is a relaxed structure of SrHoTeAuS2 from OQMD via LeMat-Bulk. Energies are from GGA-PBE.

The density is 6.591 g/cm³. The calculation puts the final energy at -4.8821 eV/atom.

The structure belongs to space group Cmcm (No. 63); the cell edges are 4.051, 14.545 and 10.968 Å and the angles 90.00°, 90.00° and 90.00°. The inequivalent atoms are Sr at (0.000, 0.205, 0.250), Ho at (0.000, 0.000, 0.000), Te at (0.000, 0.112, 0.750), Au at (0.000, 0.482, 0.750) and S at (0.000, 0.378, 0.567).